The following is a DFT calculation (GGA-PBE) of a relaxed NdReTc crystal.

Cell lengths 6.406, 6.406, 6.406 Å; angles 90.00, 90.00, 90.00 degrees
Space group F-43m (No. 216)
One atom of each set of equivalent atoms:
Nd: 0.000 0.000 0.000
Re: 0.250 0.250 0.750
Tc: 0.250 0.250 0.250

VASP energy, eV/cell: -86.84
Formation energy from the elements, eV/f.u.: 5.8



The following is a DFT calculation (GGA-PBE) of a relaxed AgSn5Mo3 crystal.

Cell lengths 5.5761, 5.5761, 7.6266 Å; angles 90.00, 90.00, 120.00 degrees
Space group P6/mmm (No. 191)
One atom of each set of equivalent atoms:
Ag: 0.0000 0.0000 0.0000
Sn: 0.0000 0.0000 0.5000
Sn: 0.3333 0.6667 0.1902
Mo: 0.0000 0.5000 0.5000

VASP energy, eV/cell: -53.18



The following is a DFT calculation (GGA-PBE) of a relaxed ZrAl crystal.

Cell lengths 4.406, 9.571, 5.623 Å; angles 90.00, 90.00, 90.00 degrees
Space group Pmc2_1 (No. 26)
One atom of each set of equivalent atoms:
Zr: 0.000 0.076 0.000
Zr: 0.000 0.386 0.149
Zr: 0.500 0.132 0.397
Al: 0.000 0.293 0.634
Al: 0.500 0.248 0.901
Al: 0.500 0.445 0.467

VASP energy, eV/cell: -77.33